DFT (PBE) results for an optimized crystal structure of Ti2RuPt2.

Calculated values
* space group: P4/mbm (127)
* magnetization: 0.01 μB/f.u.
* E_tot: -7.98 eV per atom

Cell: 7.2598 7.2598 3.0354 Å, 90.00 90.00 90.00°
Positions (direct):
Ti 0.1702 0.3298 0.0000
Ti 0.3298 0.8298 0.0000
Ti 0.6702 0.1702 0.0000
Ti 0.8298 0.6702 0.0000
Ru 0.0000 0.0000 0.5000
Ru 0.5000 0.5000 0.5000
Pt 0.1320 0.6320 0.5000
Pt 0.3680 0.1320 0.5000
Pt 0.6320 0.8680 0.5000
Pt 0.8680 0.3680 0.5000